LiMgRh SCAN single point on PBEsol structure; energy relative to the lowest polymorph listed for this composition = 0.000 eV per atom
1.0
-3.191 0.228 0.135
-0.162 -2.975 1.175
1.951 2.899 3.247
Mg Rh Li
1 1 1
Direct
0.325 0.325 0.650 Mg
0.661 0.661 0.322 Rh
0.014 0.014 0.028 Li

LiMg2Rh SCAN single point on PBEsol structure; raw total energy = -11.975 eV/atom
1.0
-0.926 3.523 2.579
-4.134 1.680 0.082
-2.541 -0.501 3.635
Mg Rh Li
2 1 1
Direct
0.750 0.750 0.750 Mg
0.250 0.250 0.250 Mg
0.000 0.000 0.000 Rh
0.500 0.500 0.500 Li

LiMg2Rh SCAN single point on PBEsol structure; raw total energy = -11.920 eV/atom
1.0
3.149 0.000 0.000
0.000 3.149 0.000
0.000 0.000 6.838
Rh Mg Li
1 2 1
Direct
0.500 0.500 0.500 Rh
0.000 0.000 0.713 Mg
0.000 0.000 0.287 Mg
0.500 0.500 0.000 Li

LiMg2TcRh SCAN single point on PBEsol structure; raw total energy = -15.594 eV/atom
1.0
-0.004 3.354 2.274
-2.908 1.816 -2.684
-3.240 -1.635 2.405
Mg Tc Li Rh
2 1 1 1
Direct
0.000 0.500 0.000 Mg
0.000 0.000 0.500 Mg
0.500 0.500 0.500 Tc
0.000 0.000 0.000 Li
0.500 0.000 0.000 Rh

LiMgRu2 SCAN single point on PBEsol structure; raw total energy = -19.139 eV/atom
1.0
2.897 0.000 0.000
0.000 4.315 0.000
-1.449 -2.157 4.429
Ru Mg Li
2 1 1
Direct
0.755 0.755 0.509 Ru
0.245 0.245 0.491 Ru
0.000 0.500 0.000 Mg
0.500 0.000 0.000 Li

LiMgRu2 SCAN single point on PBEsol structure; raw total energy = -19.082 eV/atom
1.0
3.595 0.000 0.000
0.000 3.595 0.000
-1.798 -1.798 4.333
Ru Li Mg
2 1 1
Direct
0.750 0.250 0.500 Ru
0.250 0.750 0.500 Ru
0.500 0.500 0.000 Li
0.000 0.000 0.000 Mg

no.,total magnetization (Bohr magnetons per cell),Fermi-level density of states (states/eV/f.u.)
1,0.00,1.0
2,0.00,1.3
3,0.00,1.4
4,2.68,2.9
5,0.00,3.1
6,0.81,2.6